# 1
# PBE LaAgGe, optimized geometry
data_LaAgGe
_chemical_formula_sum 'La6 Ag6 Ge6'
_space_group_name_H-M_alt 'P 1 21/m 1'
_space_group_IT_number 11
_cell_length_a 7.4593
_cell_length_b 4.4907
_cell_length_c 12.6839
_cell_angle_alpha 90.00
_cell_angle_beta 90.89
_cell_angle_gamma 90.00
loop_
_space_group_symop_operation_xyz
'x,y,z'
'-x,-y,-z'
'-x,y+1/2,-z'
'x,-y+1/2,z'
loop_
_atom_site_label
_atom_site_fract_x
_atom_site_fract_y
_atom_site_fract_z
La1 0.0175 0.2500 0.1251
La2 0.1648 0.2500 0.4218
La3 0.4805 0.7500 0.7971
Ag1 0.1478 0.2500 0.7039
Ag2 0.3448 0.7500 0.0425
Ag3 0.4964 0.7500 0.4097
Ge1 0.2300 0.7500 0.2509
Ge2 0.2532 0.7500 0.5888
Ge3 0.2680 0.2500 0.9242
# Magnetic moment ... 0.00 μB/f.u.
# D(E_F) ... 0.164 states/eV per atom
# Energy relative to the elements ... -1.900 eV per formula unit

=====

# 2
# PBE La4AgGe2, optimized geometry
data_La4AgGe2
_chemical_formula_sum 'La12 Ag3 Ge6'
_space_group_name_H-M_alt 'R -3 m'
_space_group_IT_number 166
_space_group_name_Hall '-R 3 2"'
_cell_length_a 5.1608
_cell_length_b 5.1608
_cell_length_c 27.8131
_cell_angle_alpha 90.00
_cell_angle_beta 90.00
_cell_angle_gamma 120.00
loop_
_atom_site_label
_atom_site_fract_x
_atom_site_fract_y
_atom_site_fract_z
La1 0.0000 0.0000 0.1197
La2 0.0000 0.0000 0.2944
Ag1 0.0000 0.0000 0.5000
Ge1 0.0000 0.0000 0.4068
# Magnetic moment ... 0.02 μB/f.u.
# D(E_F) ... 1.285 states/eV per atom
# Energy relative to the elements ... -3.076 eV per formula unit

=====

# 3
# PBE La3AgGe, optimized geometry
data_La3AgGe
_chemical_formula_sum 'La6 Ag2 Ge2'
_space_group_name_H-M_alt 'P -1'
_space_group_IT_number 2
_cell_length_a 4.3444
_cell_length_b 7.4007
_cell_length_c 9.5835
_cell_angle_alpha 90.95
_cell_angle_beta 90.10
_cell_angle_gamma 107.02
loop_
_space_group_symop_operation_xyz
'x,y,z'
'-x,-y,-z'
loop_
_atom_site_label
_atom_site_fract_x
_atom_site_fract_y
_atom_site_fract_z
La1 0.0467 0.0952 0.3422
La2 0.2489 0.4975 0.6787
La3 0.4136 0.8301 0.1095
Ag1 0.1912 0.3796 0.0731
Ge1 0.3909 0.7819 0.4267
# Magnetic moment ... 0.00 μB/f.u.
# Relative energy among the computed polymorphs ... 0.00 eV/f.u.
# D(E_F) ... 1.016 states/eV per atom
# Energy relative to the elements ... -2.054 eV per formula unit

=====

# 4
# PBE LaAgGe, optimized geometry
data_LaAgGe
_chemical_formula_sum 'La2 Ag2 Ge2'
_space_group_name_H-M_alt 'P 1'
_space_group_IT_number 1
_cell_length_a 4.3474
_cell_length_b 4.3493
_cell_length_c 8.4653
_cell_angle_alpha 75.21
_cell_angle_beta 75.19
_cell_angle_gamma 90.00
loop_
_space_group_symop_operation_xyz
'x,y,z'
loop_
_atom_site_label
_atom_site_fract_x
_atom_site_fract_y
_atom_site_fract_z
La1 0.0000 0.0000 0.0000
La2 0.2503 0.7494 0.4999
Ag1 0.5843 0.5843 0.8307
Ag2 0.8345 0.3335 0.3308
Ge1 0.4201 0.4259 0.1593
Ge2 0.6742 0.1697 0.6593
# Magnetic moment ... 0.00 μB/f.u.
# D(E_F) ... 0.768 states/eV per atom
# Energy relative to the elements ... -1.591 eV per formula unit

=====

# 5
# PBE LaAgGe, optimized geometry
data_LaAgGe
_chemical_formula_sum 'La4 Ag4 Ge4'
_space_group_name_H-M_alt 'C 1 2/m 1'
_space_group_IT_number 12
_cell_length_a 11.3301
_cell_length_b 4.5374
_cell_length_c 7.9575
_cell_angle_alpha 90.00
_cell_angle_beta 134.01
_cell_angle_gamma 90.00
loop_
_space_group_symop_operation_xyz
'x,y,z'
'-x,-y,-z'
'-x,y,-z'
'x,-y,z'
'x+1/2,y+1/2,z'
'-x+1/2,-y+1/2,-z'
'-x+1/2,y+1/2,-z'
'x+1/2,-y+1/2,z'
loop_
_atom_site_label
_atom_site_fract_x
_atom_site_fract_y
_atom_site_fract_z
La1 0.2464 0.0000 0.2564
Ag1 0.0130 0.5000 0.8395
Ge1 0.0094 0.0000 0.3496
# Magnetic moment ... 0.00 μB/f.u.
# D(E_F) ... 0.175 states/eV per atom
# Energy relative to the elements ... -1.661 eV per formula unit

=====

# 6
# PBE LaAgGe, optimized geometry
data_LaAgGe
_chemical_formula_sum 'La4 Ag4 Ge4'
_space_group_name_H-M_alt 'C m c m'
_space_group_IT_number 63
_space_group_name_Hall '-C 2c 2'
_cell_length_a 4.4193
_cell_length_b 10.3591
_cell_length_c 6.3078
_cell_angle_alpha 90.00
_cell_angle_beta 90.00
_cell_angle_gamma 90.00
loop_
_atom_site_label
_atom_site_fract_x
_atom_site_fract_y
_atom_site_fract_z
La1 0.0000 0.1863 0.2500
Ag1 0.0000 0.5000 0.0000
Ge1 0.0000 0.1115 0.7500
# Magnetic moment ... 0.00 μB/f.u.
# D(E_F) ... 0.441 states/eV per atom
# Energy relative to the elements ... -1.435 eV per formula unit

=====

# 7
# PBE La3Ag2Ge4, optimized geometry
data_La3Ag2Ge4
_chemical_formula_sum 'La6 Ag4 Ge8'
_space_group_name_H-M_alt 'C 1 2/m 1'
_space_group_IT_number 12
_cell_length_a 11.3555
_cell_length_b 4.5215
_cell_length_c 8.7164
_cell_angle_alpha 90.00
_cell_angle_beta 103.18
_cell_angle_gamma 90.00
loop_
_space_group_symop_operation_xyz
'x,y,z'
'-x,-y,-z'
'-x,y,-z'
'x,-y,z'
'x+1/2,y+1/2,z'
'-x+1/2,-y+1/2,-z'
'-x+1/2,y+1/2,-z'
'x+1/2,-y+1/2,z'
loop_
_atom_site_label
_atom_site_fract_x
_atom_site_fract_y
_atom_site_fract_z
La1 0.0000 0.0000 0.0000
La2 0.1631 0.5000 0.6708
Ag1 0.1139 0.5000 0.2807
Ge1 0.0643 0.0000 0.3983
Ge2 0.2124 0.5000 0.0413
# Magnetic moment ... 0.00 μB/f.u.
# D(E_F) ... 0.435 states/eV per atom
# Energy relative to the elements ... -6.122 eV per formula unit

=====

# 8
# PBE La2Ag3Ge, optimized geometry
data_La2Ag3Ge
_chemical_formula_sum 'La16 Ag24 Ge8'
_space_group_name_H-M_alt 'F m m m'
_space_group_IT_number 69
_space_group_name_Hall '-F 2 2'
_cell_length_a 7.6815
_cell_length_b 9.4233
_cell_length_c 16.4144
_cell_angle_alpha 90.00
_cell_angle_beta 90.00
_cell_angle_gamma 90.00
loop_
_atom_site_label
_atom_site_fract_x
_atom_site_fract_y
_atom_site_fract_z
La1 0.2413 0.0000 0.0000
La2 0.2500 0.2500 0.2500
Ag1 0.0000 0.0000 0.1703
Ag2 0.0000 0.2441 0.4153
Ge1 0.0000 0.0000 0.3348
# Magnetic moment ... 0.00 μB/f.u.
# Relative energy among the computed polymorphs ... 0.00 eV/f.u.
# D(E_F) ... 0.593 states/eV per atom
# Energy relative to the elements ... -2.575 eV per formula unit

=====

Among the records above, which one has the highest D(E_F)? La4AgGe2